Here is a geometry-optimized OsPt2Br structure from the Alexandria database. Energies are from PBE.

Cell lengths 3.906, 3.906, 4.327 Å; angles 90.00, 90.00, 90.00 degrees
Element x y z (fractional)
Os  0.000  0.000  0.000
Pt  0.000  0.500  0.500
Pt  0.500  0.000  0.500
Br  0.500  0.500  0.000

Its energy relative to the elements, uncorrected is 1.14 eV/atom. The relative energy among the computed polymorphs is 0.700 eV per atom. As for the space group: No. 123. The value obtained for the density of states at the Fermi level is 1.50 states/eV per atom.

Here is a geometry-optimized BaReHg2 structure from the Alexandria database. Energies are from PBE.

Cell lengths 3.224, 4.562, 7.282 Å; angles 90.00, 90.00, 90.00 degrees
Element x y z (fractional)
Ba  0.000  0.000  0.000
Re  0.000  0.500  0.372
Hg  0.500  0.000  0.411
Hg  0.500  0.500  0.704

The relative energy among the computed polymorphs is 0.058 eV per atom. As for the space group: No. 25. The value obtained for the density of states at the Fermi level is 0.81 states/eV per atom. The formation energy comes out at 0.645 eV per atom.

Here is a geometry-optimized TaAgRu2 structure from the Alexandria database. Energies are from PBE.

Cell lengths 5.298, 5.298, 5.298 Å; angles 146.39, 127.13, 64.12 degrees
Element x y z (fractional)
Ta  0.000  0.000  0.000
Ag  0.500  0.500  0.000
Ru  0.228  0.728  0.500
Ru  0.772  0.272  0.500

The relative energy among the computed polymorphs is 0.164 eV per atom. As for the space group: No. 71. The value obtained for the density of states at the Fermi level is 0.77 states/eV per atom. The formation energy comes out at 0.234 eV per atom.

Here is a geometry-optimized AcHo2Ga structure from the Alexandria database. Energies are from PBE.

Cell lengths 4.889, 4.889, 4.932 Å; angles 90.00, 90.00, 90.00 degrees
Element x y z (fractional)
Ac  0.000  0.000  0.000
Ho  0.000  0.500  0.500
Ho  0.500  0.000  0.500
Ga  0.500  0.500  0.000

The relative energy among the computed polymorphs is 0.127 eV per atom. As for the space group: No. 123. The value obtained for the density of states at the Fermi level is 1.65 states/eV per atom. The formation energy comes out at -0.117 eV per atom.

Here is a geometry-optimized KCu3GeSe4 structure from the Alexandria database. Energies are from PBE.

Cell lengths 6.202, 6.202, 6.202 Å; angles 90.00, 90.00, 90.00 degrees
Element x y z (fractional)
K  0.000  0.000  0.000
Cu  0.000  0.500  0.500
Cu  0.500  0.000  0.500
Cu  0.500  0.500  0.000
Ge  0.500  0.500  0.500
Se  0.281  0.281  0.719
Se  0.281  0.719  0.281
Se  0.719  0.281  0.281
Se  0.719  0.719  0.719

Its energy relative to the elements, uncorrected is -0.24 eV/atom. As for the space group: No. 215.

Here is a geometry-optimized BaIr3N structure from the Alexandria database. Energies are from PBE.

Cell lengths 5.291, 5.291, 5.291 Å; angles 90.00, 90.00, 90.00 degrees
Element x y z (fractional)
Ba  0.000  0.000  0.000
Ir  0.000  0.000  0.500
Ir  0.000  0.500  0.000
Ir  0.500  0.000  0.000
N  0.500  0.500  0.500

Its energy relative to the elements, uncorrected is 3.88 eV/atom. The relative energy among the computed polymorphs is 3.103 eV per atom. As for the space group: No. 221. The value obtained for the density of states at the Fermi level is 1.91 states/eV per atom.

Here is a geometry-optimized Na2CePaSe4 structure from the Alexandria database. Energies are from PBE.

Cell lengths 7.276, 4.167, 7.490 Å; angles 90.00, 108.67, 90.00 degrees
Element x y z (fractional)
Na  0.000  0.000  0.000
Na  0.500  0.500  0.000
Ce  0.000  0.500  0.500
Pa  0.500  0.000  0.500
Se  0.255  0.000  0.738
Se  0.261  0.500  0.263
Se  0.739  0.500  0.737
Se  0.745  0.000  0.262

Its energy relative to the elements, uncorrected is -1.44 eV/atom. As for the space group: No. 10. The value obtained for the density of states at the Fermi level is 1.42 states/eV per atom.

Here is a geometry-optimized PmGdMgIn structure from the Alexandria database. Energies are from PBE.

Cell lengths 5.400, 5.400, 5.400 Å; angles 60.00, 60.00, 60.00 degrees
Element x y z (fractional)
Pm  0.000  0.000  0.000
Gd  0.500  0.500  0.500
Mg  0.250  0.250  0.250
In  0.750  0.750  0.750

As for the space group: No. 216. The value obtained for the density of states at the Fermi level is 1.22 states/eV per atom. The formation energy comes out at -0.333 eV per atom.

Here is a geometry-optimized BeBPt2 structure from the Alexandria database. Energies are from PBE.

Cell lengths 6.326, 6.326, 6.326 Å; angles 154.03, 153.20, 37.66 degrees
Element x y z (fractional)
Be  0.000  0.000  0.000
B  0.500  0.500  0.000
Pt  0.337  0.337  0.000
Pt  0.663  0.663  0.000

As for the space group: No. 71. The value obtained for the density of states at the Fermi level is 0.61 states/eV per atom. The formation energy comes out at 0.112 eV per atom.

Here is a geometry-optimized Al8Ag3 structure from the Alexandria database. Energies are from PBE.

Cell lengths 5.997, 5.997, 5.997 Å; angles 90.00, 90.00, 90.00 degrees
Element x y z (fractional)
Al  0.234  0.234  0.234
Al  0.234  0.234  0.766
Al  0.234  0.766  0.234
Al  0.234  0.766  0.766
Al  0.766  0.234  0.234
Al  0.766  0.234  0.766
Al  0.766  0.766  0.234
Al  0.766  0.766  0.766
Ag  0.000  0.500  0.500
Ag  0.500  0.000  0.500
Ag  0.500  0.500  0.000

The relative energy among the computed polymorphs is 0.000 eV per atom. As for the space group: No. 221. The value obtained for the density of states at the Fermi level is 0.32 states/eV per atom. The formation energy comes out at 0.098 eV per atom.

Here is a geometry-optimized UInRh structure from the Alexandria database. Energies are from PBE.

Cell lengths 3.419, 5.697, 6.653 Å; angles 89.97, 75.26, 89.90 degrees
Element x y z (fractional)
U  0.175  0.000  0.151
U  0.825  0.000  0.849
In  0.357  0.500  0.786
In  0.643  0.500  0.214
Rh  0.001  0.250  0.500
Rh  0.999  0.750  0.500

As for the space group: No. 2. The value obtained for the density of states at the Fermi level is 1.46 states/eV per atom. The formation energy comes out at -0.164 eV per atom.

Here is a geometry-optimized ScZn structure from the Alexandria database. Energies are from PBE.

Cell lengths 5.406, 5.406, 5.406 Å; angles 90.00, 90.00, 90.00 degrees
Element x y z (fractional)
Sc  0.078  0.422  0.578
Sc  0.422  0.578  0.078
Sc  0.578  0.078  0.422
Sc  0.922  0.922  0.922
Zn  0.087  0.913  0.413
Zn  0.413  0.087  0.913
Zn  0.587  0.587  0.587
Zn  0.913  0.413  0.087

As for the space group: No. 198. The value obtained for the density of states at the Fermi level is 1.01 states/eV per atom. The formation energy comes out at -0.158 eV per atom.

Here is a geometry-optimized KLiLa2 structure from the Alexandria database. Energies are from PBE.

Cell lengths 13.032, 13.032, 13.032 Å; angles 16.31, 16.31, 16.31 degrees
Element x y z (fractional)
K  0.000  0.000  0.000
Li  0.500  0.500  0.500
La  0.236  0.236  0.236
La  0.764  0.764  0.764

The relative energy among the computed polymorphs is 0.095 eV per atom. As for the space group: No. 166. The value obtained for the density of states at the Fermi level is 0.87 states/eV per atom. The formation energy comes out at 0.258 eV per atom.

Here is a geometry-optimized Cd2Fe2Si structure from the Alexandria database. Energies are from PBE.

Cell lengths 5.893, 5.893, 4.472 Å; angles 90.00, 90.00, 90.00 degrees
Element x y z (fractional)
Cd  0.170  0.330  0.000
Cd  0.330  0.830  0.000
Cd  0.670  0.170  0.000
Cd  0.830  0.670  0.000
Fe  0.139  0.639  0.500
Fe  0.361  0.139  0.500
Fe  0.639  0.861  0.500
Fe  0.861  0.361  0.500
Si  0.000  0.000  0.500
Si  0.500  0.500  0.500

Its energy relative to the elements, uncorrected is 0.12 eV/atom. As for the space group: No. 127. The value obtained for the density of states at the Fermi level is 0.80 states/eV per atom.

no.,E (eV per atom),M_tot (Bohr magnetons per cell)
1,-5.104,0.00
2,-3.098,0.95
3,-8.080,0.00
4,-4.190,0.02
5,-3.786,0.00
6,-3.487,5.82
7,-5.436,3.00
8,-6.124,7.58
9,-5.509,0.00
10,-3.401,0.00
11,-7.290,2.07
12,-3.961,0.01
13,-2.959,0.00
14,-4.720,5.19